No. 1
First-principles (PBE-GGA) data for a geometry-optimized Mg2CdAg2 structure, as listed in the Alexandria database.

Energy of formation in meV per atom: -157
Energy above the lowest structure with this stoichiometry in eV per atom: 0.006

Cell: 4.2077 5.2645 5.1542 Å, 82.19 113.80 113.21°
Fractional coordinates of all 5 atoms:
1 Ag 0.8043 0.2139 0.3932
2 Ag 0.1957 0.7861 0.6068
3 Cd 0.0000 0.0000 0.0000
4 Mg 0.4165 0.6201 0.2123
5 Mg 0.5835 0.3799 0.7877

=====

No. 2
First-principles (PBE-GGA) data for a geometry-optimized InAu5 structure, as listed in the Alexandria database.

Energy of formation in meV per atom: 3

Cell: 5.5974 5.5974 4.7125 Å, 90.00 90.00 120.00°
Fractional coordinates of all 6 atoms:
1 Au 0.6667 0.3333 0.0000
2 Au 0.5000 0.5000 0.5000
3 Au 0.0000 0.5000 0.5000
4 Au 0.3333 0.6667 0.0000
5 Au 0.5000 0.0000 0.5000
6 In 0.0000 0.0000 0.0000

=====

No. 3
First-principles (PBE-GGA) data for a geometry-optimized LaHoScZn structure, as listed in the Alexandria database.

Energy of formation in meV per atom: -9
Energy above the lowest structure with this stoichiometry in eV per atom: 0.134

Cell: 5.3161 5.3161 5.3161 Å, 60.00 60.00 60.00°
Fractional coordinates of all 4 atoms:
1 Sc 0.5000 0.5000 0.5000
2 La 0.2500 0.2500 0.2500
3 Ho 0.7500 0.7500 0.7500
4 Zn 0.0000 0.0000 0.0000

=====

No. 4
First-principles (PBE-GGA) data for a geometry-optimized AlOs2W structure, as listed in the Alexandria database.

Energy of formation in meV per atom: 127

Cell: 2.7587 2.7587 8.6342 Å, 90.00 90.00 114.98°
Fractional coordinates of all 4 atoms:
1 W 0.5000 0.5000 0.2500
2 Os 0.0000 0.0000 0.9915
3 Os 0.0000 0.0000 0.5085
4 Al 0.5000 0.5000 0.7500

=====

No. 5
First-principles (PBE-GGA) data for a geometry-optimized La3CeSm3S8 structure, as listed in the Alexandria database.

Final energy in eV/atom: -6.61

Cell: 8.1120 8.1122 8.1936 Å, 119.67 90.00 120.00°
Each line ends with the local moment (μB).
Fractional coordinates of all 15 atoms:
1 S 0.2479 0.9930 0.7408  -0.01
2 S 0.7467 0.4934 0.7401  0.00
3 S 0.2533 0.5066 0.2599  0.00
4 S 0.2549 0.0070 0.2592  -0.01
5 S 0.7521 0.5042 0.2592  -0.01
6 S 0.7451 0.9930 0.7408  -0.01
7 S 0.2479 0.4958 0.7408  -0.01
8 S 0.7521 0.0070 0.2592  -0.01
9 La 0.0000 0.5000 0.0000  0.04
10 La 0.0000 0.0000 0.0000  0.04
11 La 0.5000 0.5000 0.0000  0.04
12 Sm 0.0000 0.5000 0.5000  0.03
13 Sm 0.5000 0.0000 0.5000  0.03
14 Sm 0.5000 0.5000 0.5000  0.03
15 Ce 0.0000 0.0000 0.5000  0.91

=====

No. 6
First-principles (PBE-GGA) data for a geometry-optimized TbY3Ho6Er2 structure, as listed in the Alexandria database.

Energy of formation in meV per atom: 22

Cell: 6.1209 6.1209 11.7229 Å, 94.98 94.98 119.94°
Fractional coordinates of all 12 atoms:
1 Y 0.1668 0.8332 0.5000
2 Y 0.8332 0.1668 0.5000
3 Y 0.5000 0.5000 0.5000
4 Ho 0.9167 0.5832 0.7516
5 Ho 0.5832 0.9167 0.7516
6 Ho 0.0833 0.4168 0.2484
7 Ho 0.2503 0.2503 0.7516
8 Ho 0.4168 0.0833 0.2484
9 Ho 0.7497 0.7497 0.2484
10 Er 0.6667 0.3333 0.0000
11 Er 0.3333 0.6667 0.0000
12 Tb 0.0000 0.0000 0.0000

=====

No. 7
First-principles (PBE-GGA) data for a geometry-optimized RbCd structure, as listed in the Alexandria database.

Energy of formation in meV per atom: 78

Cell: 7.4744 7.4744 7.5262 Å, 90.00 90.00 90.00°
Fractional coordinates of all 8 atoms:
1 Rb 0.8153 0.1847 0.0000
2 Rb 0.3153 0.3153 0.5000
3 Rb 0.1847 0.8153 0.0000
4 Rb 0.6847 0.6847 0.5000
5 Cd 0.1453 0.8547 0.5000
6 Cd 0.6453 0.6453 0.0000
7 Cd 0.3547 0.3547 0.0000
8 Cd 0.8547 0.1453 0.5000

=====

No. 8
First-principles (PBE-GGA) data for a geometry-optimized GdDyMnIn structure, as listed in the Alexandria database.

Energy of formation in meV per atom: -107

Cell: 5.2223 5.2223 5.2223 Å, 60.00 60.00 60.00°
Each line ends with the local moment (μB).
Fractional coordinates of all 4 atoms:
1 Gd 0.7500 0.7500 0.7500  -7.21
2 Mn 0.0000 0.0000 0.0000  3.74
3 In 0.5000 0.5000 0.5000  0.01
4 Dy 0.2500 0.2500 0.2500  -0.21

=====

No. 9
First-principles (PBE-GGA) data for a geometry-optimized K3AcPu2O9 structure, as listed in the Alexandria database.

Final energy in eV/atom: -7.90

Cell: 6.2070 6.2070 7.7232 Å, 90.00 90.00 120.00°
Each line ends with the local moment (μB).
Fractional coordinates of all 15 atoms:
1 K 0.3333 0.6667 0.6780  0.00
2 K 0.6667 0.3333 0.3220  0.00
3 K 0.0000 0.0000 0.0000  0.00
4 O 0.8195 0.6391 0.6935  -0.09
5 O 0.3609 0.1805 0.6935  -0.09
6 O 0.8195 0.1805 0.6935  -0.09
7 O 0.0000 0.5000 0.0000  -0.12
8 O 0.5000 0.5000 0.0000  -0.12
9 O 0.1805 0.8195 0.3065  -0.09
10 O 0.6391 0.8195 0.3065  -0.09
11 O 0.5000 0.0000 0.0000  -0.12
12 O 0.1805 0.3609 0.3065  -0.09
13 Pu 0.6667 0.3333 0.8456  2.46
14 Pu 0.3333 0.6667 0.1544  2.46
15 Ac 0.0000 0.0000 0.5000  -0.03

=====

No. 10
First-principles (PBE-GGA) data for a geometry-optimized MnCdHg2 structure, as listed in the Alexandria database.

Energy of formation in meV per atom: 337

Cell: 4.3365 4.3365 10.3696 Å, 77.93 77.93 90.00°
Each line ends with the local moment (μB).
Fractional coordinates of all 8 atoms:
1 Hg 0.8750 0.8634 0.7500  -0.01
2 Hg 0.1366 0.6250 0.2500  -0.01
3 Hg 0.6134 0.1250 0.2500  -0.01
4 Hg 0.3750 0.3866 0.7500  -0.01
5 Cd 0.0000 0.0000 0.0000  -0.03
6 Cd 0.7500 0.2500 0.5000  -0.03
7 Mn 0.5000 0.5000 0.0000  4.01
8 Mn 0.2500 0.7500 0.5000  4.00

=====

No. 11
First-principles (PBE-GGA) data for a geometry-optimized CaAl2Ir structure, as listed in the Alexandria database.

Energy of formation in meV per atom: -634

Cell: 4.3028 4.3028 5.9182 Å, 68.63 68.63 59.96°
Fractional coordinates of all 4 atoms:
1 Al 0.0306 0.0306 0.9080
2 Al 0.2975 0.2975 0.1076
3 Ca 0.4934 0.4934 0.5197
4 Ir 0.6785 0.6785 0.9647

=====

No. 12
First-principles (PBE-GGA) data for a geometry-optimized HfSc3In4 structure, as listed in the Alexandria database.

Energy of formation in meV per atom: -325

Cell: 5.3266 6.5070 10.2658 Å, 90.00 90.00 90.00°
Each line ends with the local moment (μB).
Fractional coordinates of all 16 atoms:
1 Sc 0.6271 0.0000 0.7500  -0.09
2 Sc 0.3639 0.5000 0.2500  0.04
3 Sc 0.0000 0.0000 0.5000  -0.05
4 Sc 0.6361 0.5000 0.7500  0.04
5 Sc 0.0000 0.0000 0.0000  -0.05
6 Sc 0.3729 0.0000 0.2500  -0.09
7 In 0.1302 0.7492 0.7500  0.00
8 In 0.8698 0.7492 0.2500  0.00
9 In 0.5000 0.2505 0.0000  0.00
10 In 0.5000 0.7495 0.5000  0.00
11 In 0.5000 0.7495 0.0000  0.00
12 In 0.5000 0.2505 0.5000  0.00
13 In 0.1302 0.2508 0.7500  0.00
14 In 0.8698 0.2508 0.2500  0.00
15 Hf 0.0000 0.5000 0.5000  0.11
16 Hf 0.0000 0.5000 0.0000  0.11

=====

Number 1: Fermi-level density of states 0.936 states/eV/f.u., calculated density 6.519 Mg/m³. Number 2: Fermi-level density of states 2.386 states/eV/f.u., calculated density 14.281 Mg/m³. Number 3: Fermi-level density of states 4.632 states/eV/f.u., calculated density 6.474 Mg/m³. Number 4: Fermi-level density of states 3.664 states/eV/f.u., calculated density 16.485 Mg/m³. Number 5: Fermi-level density of states 12.803 states/eV/f.u., calculated density 5.480 Mg/m³. Number 6: Fermi-level density of states 16.902 states/eV/f.u., calculated density 7.752 Mg/m³. Number 7: Fermi-level density of states 1.302 states/eV/f.u., calculated density 3.126 Mg/m³. Number 8: Fermi-level density of states 5.259 states/eV/f.u., calculated density 8.071 Mg/m³. Number 9: Fermi-level density of states 8.837 states/eV/f.u., calculated density 6.291 Mg/m³. Number 10: Fermi-level density of states 2.422 states/eV/f.u., calculated density 10.136 Mg/m³. Number 11: Fermi-level density of states 1.298 states/eV/f.u., calculated density 5.524 Mg/m³. Number 12: Fermi-level density of states 6.526 states/eV/f.u., calculated density 7.212 Mg/m³.